Record 1
Entry from Alexandria via LeMat-Bulk: a geometry-optimized Zn2SiAs structure (GGA-PBE).

Output
M_tot in μB per cell: 0.000
Final energy in eV/cell: -11.3
Formation energy (no corrections) in eV per atom: 0.337

```
Zn2SiAs
1.0
-2.070 2.070 3.931
2.070 -2.070 3.931
2.070 2.070 -3.931
Zn Si As
2 1 1
direct
0.000 0.000 0.000
0.750 0.250 0.500
0.500 0.500 0.000
0.250 0.750 0.500
```

Record 2
Entry from Alexandria via LeMat-Bulk: a geometry-optimized Zn2SiAs structure (GGA-PBE).

Output
M_tot in μB per cell: 0.000
Final energy in eV/cell: -11.7
Formation energy (no corrections) in eV per atom: 0.225

```
Zn2SiAs
1.0
3.745 0.000 0.000
0.000 3.745 0.000
0.000 0.000 5.108
Zn Si As
2 1 1
direct
0.000 0.000 0.000
0.500 0.500 0.000
0.000 0.000 0.500
0.500 0.500 0.500
```

Record 3
Entry from Alexandria via LeMat-Bulk: a geometry-optimized Zn2SiAs structure (GGA-PBE).

Output
M_tot in μB per cell: 0.000
Final energy in eV/cell: -11.3
Formation energy (no corrections) in eV per atom: 0.318

```
Zn2SiAs
1.0
3.852 0.000 0.000
0.000 3.852 0.000
0.000 0.000 4.585
Zn Si As
2 1 1
direct
0.000 0.500 0.000
0.500 0.000 0.000
0.000 0.000 0.500
0.500 0.500 0.500
```

Record 4
Entry from Alexandria via LeMat-Bulk: a geometry-optimized Zn2SiAs structure (GGA-PBE).

Output
M_tot in μB per cell: 0.000
Final energy in eV/cell: -12.0
Formation energy (no corrections) in eV per atom: 0.162

```
Zn2SiAs
1.0
2.617 0.000 0.000
0.000 3.567 0.000
0.000 0.000 7.346
Zn Si As
2 1 1
direct
0.000 0.000 0.000
0.500 0.500 0.221
0.000 0.000 0.465
0.000 0.500 0.714
```

Record 5
Entry from Alexandria via LeMat-Bulk: a geometry-optimized ZnSiAs2 structure (GGA-PBE).

Output
M_tot in μB per cell: 0.000
Final energy in eV/cell: -14.9
Formation energy (no corrections) in eV per atom: 0.282

```
ZnSiAs2
1.0
5.370 -1.658 0.000
5.370 1.658 0.000
-2.710 0.000 4.961
Zn Si As
1 1 2
direct
0.000 0.000 0.000
0.318 0.318 0.005
0.614 0.614 0.751
0.742 0.742 0.257
```

Record 6
Entry from Alexandria via LeMat-Bulk: a geometry-optimized Zn2SiAs structure (GGA-PBE).

Output
M_tot in μB per cell: 0.000
Final energy in eV/cell: -11.3
Formation energy (no corrections) in eV per atom: 0.341

```
Zn2SiAs
1.0
0.000 3.241 3.241
3.241 0.000 3.241
3.241 3.241 0.000
Zn Si As
2 1 1
direct
0.000 0.000 0.000
0.250 0.250 0.250
0.750 0.750 0.750
0.500 0.500 0.500
```

Record 7
Entry from Alexandria via LeMat-Bulk: a geometry-optimized ZnSi2As structure (GGA-PBE).

Output
M_tot in μB per cell: 0.000
Final energy in eV/cell: -15.1
Formation energy (no corrections) in eV per atom: 0.410

```
ZnSi2As
1.0
2.727 0.000 0.000
0.000 2.727 0.000
0.000 0.000 8.902
Zn Si As
1 2 1
direct
0.000 0.000 0.000
0.000 0.000 0.553
0.500 0.500 0.773
0.500 0.500 0.250
```

Record 8
Entry from Alexandria via LeMat-Bulk: a geometry-optimized Zn2SiAs structure (GGA-PBE).

Output
M_tot in μB per cell: 0.000
Final energy in eV/cell: -11.4
Formation energy (no corrections) in eV per atom: 0.310

```
Zn2SiAs
1.0
1.891 -2.086 0.000
1.891 2.086 0.000
0.000 0.000 8.513
Zn Si As
2 1 1
direct
0.000 0.000 0.233
0.000 0.000 0.767
0.500 0.500 0.000
0.500 0.500 0.500
```

formation energy (no corrections) of number 4 (Zn2SiAs)?
0.162 eV per atom

Which value of formation energy (no corrections) does entry 5 give?
0.282 eV per atom

What is the formation energy (no corrections) in the fifth record?
0.282 eV per atom

Copy entry 3 word for word.
Entry from Alexandria via LeMat-Bulk: a geometry-optimized Zn2SiAs structure (GGA-PBE).

Output
M_tot in μB per cell: 0.000
Final energy in eV/cell: -11.3
Formation energy (no corrections) in eV per atom: 0.318

```
Zn2SiAs
1.0
3.852 0.000 0.000
0.000 3.852 0.000
0.000 0.000 4.585
Zn Si As
2 1 1
direct
0.000 0.500 0.000
0.500 0.000 0.000
0.000 0.000 0.500
0.500 0.500 0.500
```